[1]
DFT (PBE) results for an optimized crystal structure of Rb2InOsI6.

Formation energy without anion corrections in kcal/mol of atoms: -12.6
SG: No. 225

Cell: 8.434 8.434 8.433 Å, 60.00 60.00 90.00°
Site moments in Bohr magnetons follow the coordinates.
Fractional positions:
I 0.228 0.228 0.543  0.02
I 0.772 0.772 0.457  0.02
I 0.228 0.228 0.000  0.02
I 0.772 0.772 0.000  0.02
I 0.772 0.228 0.000  0.02
I 0.228 0.772 0.000  0.02
Os 0.000 0.000 0.000  0.74
Rb 0.750 0.250 0.500  0.00
Rb 0.250 0.750 0.500  0.00
In 0.500 0.500 0.000  -0.01


[2]
DFT (PBE) results for an optimized crystal structure of PrDy2Pd.

Energy above the most stable polymorph in this dataset in eV/atom: 0.143
ΔE_f in meV/atom: -305
SG: No. 166

Cell: 3.744 3.744 10.004 Å, 79.21 79.21 60.00°
Fractional positions:
Pr 0.500 0.500 0.500
Pd 0.000 0.000 0.000
Dy 0.270 0.270 0.190
Dy 0.730 0.730 0.810


[3]
DFT (PBE) results for an optimized crystal structure of PrNd2Zn.

Energy above the most stable polymorph in this dataset in eV/atom: 0.116
ΔE_f in meV/atom: -34
SG: No. 160

Cell: 3.715 3.715 10.870 Å, 80.16 80.16 60.00°
Fractional positions:
Pr 0.500 0.500 0.500
Nd 0.071 0.071 0.788
Nd 0.263 0.263 0.211
Zn 0.666 0.666 0.001


[4]
DFT (PBE) results for an optimized crystal structure of Ca5AlO6.

Formation energy without anion corrections in kcal/mol of atoms: -61.9
SG: No. 12

Cell: 5.762 5.774 5.779 Å, 60.03 80.45 70.60°
Fractional positions:
Ca 0.500 0.165 0.671
Ca 0.000 0.333 0.334
Ca 0.500 0.500 0.000
Ca 0.000 0.667 0.666
Ca 0.500 0.835 0.329
Al 0.000 0.000 0.000
O 0.779 0.074 0.290
O 0.221 0.636 0.290
O 0.221 0.217 0.000
O 0.779 0.783 0.000
O 0.779 0.364 0.710
O 0.221 0.926 0.710


[5]
DFT (PBE) results for an optimized crystal structure of CePuTc.

Energy above the most stable polymorph in this dataset in eV/atom: 0.252
ΔE_f in meV/atom: 216
SG: No. 216

Cell: 4.741 4.741 4.741 Å, 60.00 60.00 60.00°
Site moments in Bohr magnetons follow the coordinates.
Fractional positions:
Tc 0.250 0.250 0.250  -0.49
Ce 0.500 0.500 0.500  0.59
Pu 0.000 0.000 0.000  5.22


[6]
DFT (PBE) results for an optimized crystal structure of Y2PbAu.

ΔE_f in meV/atom: -63
SG: No. 122

Cell: 4.922 4.922 10.603 Å, 76.58 76.58 90.00°
Fractional positions:
Pb 0.000 0.000 0.000
Pb 0.750 0.250 0.500
Y 0.618 0.125 0.250
Y 0.132 0.625 0.250
Y 0.375 0.382 0.750
Y 0.875 0.868 0.750
Au 0.500 0.500 0.000
Au 0.250 0.750 0.500


[7]
DFT (PBE) results for an optimized crystal structure of AcThBr.

Formation energy without anion corrections in kcal/mol of atoms: -15.7
SG: No. 12

Cell: 3.914 3.914 17.698 Å, 99.27 99.27 59.99°
Fractional positions:
Th 0.006 0.006 0.076
Th 0.748 0.748 0.231
Ac 0.501 0.501 0.409
Ac 0.252 0.252 0.898
Br 0.229 0.229 0.536
Br 0.524 0.524 0.772


[8]
DFT (PBE) results for an optimized crystal structure of Nb3SnS6.

Formation energy without anion corrections in kcal/mol of atoms: -24.0
SG: No. 182

Cell: 5.846 5.846 14.593 Å, 90.00 90.00 120.00°
Fractional positions:
Nb 0.333 0.667 0.999
Nb 0.000 0.000 0.000
Nb 0.667 0.333 0.001
Nb 0.333 0.667 0.501
Nb 0.000 0.000 0.500
Nb 0.667 0.333 0.499
Sn 0.333 0.667 0.250
Sn 0.667 0.333 0.750
S 0.668 0.667 0.393
S 0.667 0.668 0.607
S 0.000 0.668 0.893
S 0.667 0.000 0.893
S 0.668 0.000 0.107
S 0.333 0.000 0.393
S 0.000 0.333 0.607
S 0.332 0.000 0.607
S 0.000 0.667 0.107
S 0.332 0.333 0.893
S 0.000 0.332 0.393
S 0.333 0.332 0.107


[9]
DFT (PBE) results for an optimized crystal structure of ScCo2BPb.

ΔE_f in meV/atom: 1975
SG: No. 123

Cell: 4.773 5.456 4.773 Å, 90.00 90.00 90.00°
Site moments in Bohr magnetons follow the coordinates.
Fractional positions:
Pb 0.000 0.000 0.000  -0.01
Sc 0.000 0.500 0.000  0.08
B 0.500 0.500 0.500  -0.08
Co 0.000 0.000 0.500  1.66
Co 0.500 0.000 0.000  1.84


[10]
DFT (PBE) results for an optimized crystal structure of Y6ScHg12.

ΔE_f in meV/atom: -325
SG: No. 148

Cell: 8.408 8.408 8.408 Å, 107.25 107.25 107.25°
Fractional positions:
Y 0.078 0.221 0.490
Y 0.779 0.510 0.922
Y 0.510 0.922 0.779
Y 0.922 0.779 0.510
Y 0.221 0.490 0.078
Y 0.490 0.078 0.221
Sc 0.000 0.000 0.000
Hg 0.445 0.188 0.583
Hg 0.188 0.583 0.445
Hg 0.583 0.445 0.188
Hg 0.555 0.812 0.417
Hg 0.812 0.417 0.555
Hg 0.417 0.555 0.812
Hg 0.260 0.135 0.847
Hg 0.153 0.740 0.865
Hg 0.865 0.153 0.740
Hg 0.740 0.865 0.153
Hg 0.847 0.260 0.135
Hg 0.135 0.847 0.260


[11]
DFT (PBE) results for an optimized crystal structure of Ac2Sm8Ho3.

ΔE_f in meV/atom: 196
SG: No. 12

Cell: 6.280 8.942 8.942 Å, 83.63 72.60 72.60°
Fractional positions:
Ac 0.347 0.300 0.300
Ac 0.653 0.700 0.700
Sm 0.235 0.573 0.573
Sm 0.765 0.427 0.427
Sm 0.949 0.146 0.146
Sm 0.051 0.854 0.854
Sm 0.668 0.585 0.088
Sm 0.668 0.088 0.585
Sm 0.332 0.912 0.415
Sm 0.332 0.415 0.912
Ho 0.500 0.000 0.000
Ho 0.000 0.253 0.747
Ho 0.000 0.747 0.253


[12]
DFT (PBE) results for an optimized crystal structure of YNi2Pt2.

Energy above the most stable polymorph in this dataset in eV/atom: 0.129
ΔE_f in meV/atom: -365
SG: No. 127

Cell: 7.306 7.306 2.991 Å, 90.00 90.00 90.00°
Fractional positions:
Y 0.000 0.000 0.000
Y 0.500 0.500 0.000
Ni 0.163 0.663 0.500
Ni 0.663 0.837 0.500
Ni 0.837 0.337 0.500
Ni 0.337 0.163 0.500
Pt 0.366 0.866 0.000
Pt 0.866 0.634 0.000
Pt 0.634 0.134 0.000
Pt 0.134 0.366 0.000


[13]
DFT (PBE) results for an optimized crystal structure of YMo2PSe.

Formation energy without anion corrections in kcal/mol of atoms: 46.8
SG: No. 123

Cell: 5.262 4.949 5.262 Å, 90.00 90.00 90.00°
Site moments in Bohr magnetons follow the coordinates.
Fractional positions:
Y 0.000 0.000 0.000  -0.01
P 0.000 0.500 0.000  -0.19
Mo 0.000 0.000 0.500  2.14
Mo 0.500 0.000 0.000  2.77
Se 0.500 0.500 0.500  -0.32


[14]
DFT (PBE) results for an optimized crystal structure of Ce3NiBr3.

Formation energy without anion corrections in kcal/mol of atoms: -25.7
SG: No. 214

Cell: 10.235 10.235 10.235 Å, 109.47 109.47 109.47°
Site moments in Bohr magnetons follow the coordinates.
Fractional positions:
Ce 0.969 0.485 0.235  0.98
Ce 0.515 0.031 0.265  0.98
Ce 0.250 0.015 0.485  0.98
Ce 0.985 0.750 0.015  0.98
Ce 0.985 0.235 0.469  0.98
Ce 0.765 0.015 0.031  0.98
Ce 0.735 0.469 0.485  0.98
Ce 0.765 0.750 0.235  0.98
Ce 0.531 0.265 0.015  0.98
Ce 0.250 0.235 0.265  0.98
Ce 0.735 0.265 0.750  0.98
Ce 0.515 0.485 0.750  0.98
Ni 0.750 0.500 0.000  -0.07
Ni 0.500 0.250 0.500  -0.07
Ni 0.750 0.250 0.250  -0.07
Ni 0.000 0.000 0.250  -0.07
Br 0.241 0.991 0.983  -0.01
Br 0.750 0.759 0.741  -0.01
Br 0.483 0.741 0.991  -0.01
Br 0.009 0.250 0.991  -0.01
Br 0.259 0.741 0.250  -0.01
Br 0.491 0.509 0.250  -0.01
Br 0.241 0.250 0.759  -0.01
Br 0.259 0.517 0.509  -0.01
Br 0.750 0.991 0.509  -0.01
Br 0.017 0.509 0.759  -0.01
Br 0.009 0.759 0.517  -0.01
Br 0.491 0.983 0.741  -0.01


[15]
DFT (PBE) results for an optimized crystal structure of KMoAs4.

ΔE_f in meV/atom: 596
SG: No. 216

Cell: 5.711 5.711 5.711 Å, 60.00 60.00 60.00°
Site moments in Bohr magnetons follow the coordinates.
Fractional positions:
K 0.750 0.750 0.750  0.02
Mo 0.000 0.000 0.000  3.31
As 0.876 0.375 0.375  0.00
As 0.375 0.375 0.876  0.00
As 0.375 0.876 0.375  0.00
As 0.375 0.375 0.375  0.00


[16]
DFT (PBE) results for an optimized crystal structure of RbNiS2N.

Formation energy without anion corrections in kcal/mol of atoms: 9.1
Energy above the most stable polymorph in this dataset in eV/atom: 0.000
SG: No. 123

Cell: 5.263 5.263 3.438 Å, 90.00 90.00 90.00°
Site moments in Bohr magnetons follow the coordinates.
Fractional positions:
Ni 0.000 0.000 0.000  0.01
S 0.000 0.500 0.000  0.18
S 0.500 0.000 0.000  0.18
Rb 0.500 0.500 0.500  0.01
N 0.000 0.000 0.500  0.06


[17]
DFT (PBE) results for an optimized crystal structure of PmAl2Pb.

ΔE_f in meV/atom: -281
SG: No. 123

Cell: 4.510 4.576 4.576 Å, 90.00 90.00 90.00°
Fractional positions:
Pb 0.500 0.000 0.000
Al 0.000 0.000 0.500
Al 0.000 0.500 0.000
Pm 0.500 0.500 0.500


[18]
DFT (PBE) results for an optimized crystal structure of Ca7Cd3.

ΔE_f in meV/atom: -197
SG: No. 186

Cell: 6.989 10.778 10.778 Å, 120.00 90.00 90.00°
Fractional positions:
Ca 0.097 0.667 0.333
Ca 0.597 0.333 0.667
Ca 0.924 0.876 0.752
Ca 0.924 0.876 0.124
Ca 0.924 0.248 0.124
Ca 0.424 0.124 0.248
Ca 0.424 0.124 0.876
Ca 0.424 0.752 0.876
Ca 0.156 0.463 0.927
Ca 0.156 0.463 0.537
Ca 0.156 0.073 0.537
Ca 0.656 0.537 0.073
Ca 0.656 0.537 0.463
Ca 0.656 0.927 0.463
Cd 0.858 0.195 0.391
Cd 0.858 0.195 0.805
Cd 0.858 0.609 0.805
Cd 0.358 0.805 0.609
Cd 0.358 0.805 0.195
Cd 0.358 0.391 0.195


[19]
DFT (PBE) results for an optimized crystal structure of Ce2Te2P.

Formation energy without anion corrections in kcal/mol of atoms: -28.0
SG: No. 72

Cell: 6.195 8.172 7.992 Å, 120.75 112.81 90.00°
Site moments in Bohr magnetons follow the coordinates.
Fractional positions:
Ce 0.394 0.630 0.787  0.63
Ce 0.606 0.370 0.213  0.63
Ce 0.106 0.842 0.213  0.63
Ce 0.894 0.158 0.787  0.63
Te 0.857 0.721 0.715  -0.03
Te 0.143 0.279 0.285  -0.03
Te 0.643 0.006 0.285  -0.03
Te 0.357 0.994 0.715  -0.03
P 0.750 0.500 0.000  -0.02
P 0.250 0.500 0.000  -0.02


[20]
DFT (PBE) results for an optimized crystal structure of Nd4PbSe2S.

Formation energy without anion corrections in kcal/mol of atoms: -35.4
SG: No. 10

Cell: 4.295 7.438 7.442 Å, 109.56 90.00 90.00°
Fractional positions:
Nd 0.500 0.265 0.256
Nd 0.500 0.735 0.744
Nd 0.000 0.264 0.756
Nd 0.000 0.736 0.244
Pb 0.000 0.000 0.000
Se 0.500 0.000 0.500
Se 0.000 0.500 0.500
S 0.500 0.500 0.000